1.
HoErCu, optimized geometry, DFT PBE; E_tot = -4.51 eV per atom; DFT formation energy = -98.2 meV per atom
1.0
-1.820 2.215 6.073
-4.493 -4.771 0.285
4.654 -4.207 2.929
Cu Er Ho
4 4 4
Cartesian
-2.758 -4.054 6.098 Cu
-3.809 -3.388 1.827 Cu
2.149 -3.375 7.459 Cu
1.098 -2.710 3.188 Cu
-3.640 -1.627 5.007 Er
-1.291 -4.036 2.876 Er
-0.369 -2.728 6.411 Er
1.981 -5.136 4.280 Er
-2.538 -5.400 8.527 Ho
-1.614 -6.519 5.498 Ho
-0.045 -0.244 3.788 Ho
0.879 -1.364 0.760 Ho

***

2.
Li2CeSb2, optimized geometry, DFT PBE; E_tot = -4.31 eV per atom; E_form (uncorrected) = -712 meV per atom
1.0
-3.229 3.121 -0.850
-3.230 -0.845 -3.122
-6.067 -1.986 3.471
Li Ce Sb
2 1 2
Cartesian
-5.367 -0.785 -0.927 Li
-7.160 1.075 0.426 Li
-1.615 -0.422 -1.561 Ce
-3.687 1.242 0.133 Sb
-8.840 -0.952 -0.633 Sb

***

3.
TbHoIn2, optimized geometry, DFT PBE; E_tot = -4.14 eV per atom; DFT formation energy = -467.3 meV per atom
1.0
-2.779 -2.121 -0.346
0.948 -0.351 -5.457
2.977 -4.228 2.016
Tb Ho In
1 1 2
Cartesian
-1.389 -1.061 -0.173 Tb
0.573 -3.350 -1.893 Ho
1.489 -2.114 1.008 In
0.474 -0.176 -2.728 In

***

4.
Li2Nd2ThGe2, optimized geometry, DFT PBE; E_tot = -4.72 eV per atom; DFT formation energy = -430.3 meV per atom
1.0
-3.381 -1.688 2.477
0.781 -1.426 4.216
-2.797 7.685 5.539
Li Nd Th Ge
2 2 1 2
Cartesian
-2.113 -0.361 5.113 Li
-3.284 4.933 7.120 Li
-2.074 4.417 4.300 Nd
-3.323 0.155 7.933 Nd
0.000 0.000 0.000 Th
-4.158 3.928 9.364 Ge
-1.239 0.644 2.869 Ge

***

5.
La4Pm5Pr3, optimized geometry, DFT PBE; E_tot = -4.80 eV per atom; DFT formation energy = 14.6 meV per atom
1.0
7.149 -0.610 1.776
-5.819 5.822 -5.273
4.522 -0.632 12.567
La Pm Pr
4 5 3
Cartesian
3.385 0.395 9.739 La
5.851 2.845 8.447 La
0.000 1.735 0.623 La
2.466 4.185 -0.669 La
2.274 3.156 7.547 Pm
5.835 -0.621 7.172 Pm
6.975 0.081 10.631 Pm
-1.124 4.499 -1.561 Pm
3.577 1.424 1.523 Pm
4.706 2.133 4.981 Pr
2.261 -0.316 6.284 Pr
1.145 2.447 4.089 Pr

***

6.
ScGa2Te4, optimized geometry, DFT PBE; E_tot = -3.99 eV per atom; E_form (uncorrected) = -424 meV per atom
1.0
6.711 0.100 0.000
-3.144 5.930 0.000
-1.784 -3.015 5.725
Sc Ga Te
1 2 4
Cartesian
1.784 3.015 0.000 Sc
-1.572 2.965 2.863 Ga
3.355 0.050 2.863 Ga
0.662 -0.392 2.924 Te
4.195 1.588 0.769 Te
-2.411 1.426 4.956 Te
1.122 3.406 2.801 Te

***

7.
Nd3CdRu, optimized geometry, DFT PBE; E_tot = -5.08 eV per atom; DFT formation energy = -180.2 meV per atom
1.0
4.093 0.000 0.000
0.000 8.815 -0.535
0.000 -2.575 8.362
Nd Cd Ru
6 2 2
Cartesian
3.069 5.077 2.995 Nd
1.023 1.162 4.832 Nd
3.069 0.378 7.767 Nd
1.023 6.405 5.789 Nd
1.023 5.861 0.060 Nd
3.069 -0.166 2.038 Nd
1.023 2.583 1.848 Cd
3.069 3.657 5.979 Cd
1.023 7.074 2.670 Ru
3.069 -0.834 5.157 Ru

***

8.
Zn2SnIF, optimized geometry, DFT PBE; E_tot = -2.17 eV per atom; E_form (uncorrected) = -179 meV per atom
1.0
4.492 0.000 0.000
0.000 6.371 0.000
0.000 0.000 4.492
I Zn Sn F
1 2 1 1
Cartesian
0.000 3.185 0.000 I
0.000 0.000 2.246 Zn
2.246 0.000 0.000 Zn
2.246 3.185 2.246 Sn
0.000 0.000 0.000 F

***

9.
NpInSn, optimized geometry, DFT PBE; E_tot = -6.51 eV per atom; DFT formation energy = 52.4 meV per atom
1.0
6.273 -0.939 0.061
-2.915 5.633 0.061
-1.636 -2.286 4.600
In Np Sn
2 2 2
Cartesian
1.421 -0.982 1.546 In
3.111 1.380 3.176 In
0.014 1.874 0.935 Np
-0.047 1.789 3.787 Np
4.575 -1.453 2.361 Sn
3.131 1.308 0.061 Sn

***

10.
MnZnRu4, optimized geometry, DFT PBE; E_tot = -7.46 eV per atom; DFT formation energy = 461.7 meV per atom
1.0
4.793 1.017 1.338
1.002 3.923 3.066
1.536 -0.832 4.769
Mn Zn Ru
1 1 4
Cartesian
0.000 0.000 0.000 Mn
5.499 3.082 6.880 Zn
5.146 2.050 4.109 Ru
3.517 1.125 5.825 Ru
3.250 3.503 4.973 Ru
2.749 1.541 3.440 Ru

***

11.
CaLa2SbC, optimized geometry, DFT PBE; E_tot = -5.60 eV per atom; E_form (uncorrected) = -555 meV per atom
1.0
-1.071 5.043 0.608
-2.414 -1.052 4.474
4.314 0.618 2.473
Sb Ca C La
1 1 1 2
Cartesian
0.415 2.304 3.778 Sb
2.157 0.309 1.236 Ca
0.000 0.000 0.000 C
-1.207 -0.526 2.237 La
-0.535 2.522 0.304 La

***

12.
MgCu2HIr, optimized geometry, DFT PBE; E_tot = -4.52 eV per atom
1.0
3.908 0.000 0.000
0.000 3.908 0.000
0.000 0.000 3.789
H Mg Ir Cu
1 1 1 2
Cartesian
0.000 0.000 0.000 H
1.954 1.954 1.894 Mg
0.000 0.000 1.894 Ir
0.000 1.954 0.000 Cu
1.954 0.000 0.000 Cu

***

13.
PaGePt4, optimized geometry, DFT PBE; E_tot = -7.00 eV per atom; DFT formation energy = -615.8 meV per atom
1.0
6.098 -0.369 1.449
0.789 5.880 1.056
-0.344 -0.369 6.259
Pa Ge Pt
2 2 8
Cartesian
1.078 1.173 1.444 Pa
5.465 3.969 7.321 Pa
2.984 4.265 3.997 Ge
3.559 0.877 4.768 Ge
1.399 4.029 1.875 Pt
5.208 3.050 4.682 Pt
4.599 -0.369 2.569 Pt
3.534 2.093 2.441 Pt
5.144 1.113 6.890 Pt
1.335 2.093 4.082 Pt
1.155 -0.369 5.139 Pt
3.009 3.050 6.324 Pt